This record from the Alexandria database describes a relaxed LiLa2BIr crystal. The functional is GGA-PBE.

```
data_LiLa2BIr
_symmetry_space_group_name_H-M 'P 1'
_symmetry_Int_Tables_number 1
_cell_length_a 5.440
_cell_length_b 5.440
_cell_length_c 4.040
_cell_angle_alpha 90.00
_cell_angle_beta 90.00
_cell_angle_gamma 90.00
loop_
_symmetry_equiv_pos_as_xyz
'x,y,z'
loop_
_atom_site_label
_atom_site_fract_x
_atom_site_fract_y
_atom_site_fract_z
_atom_site_occupancy
Li1 0.000 0.000 0.000 1
La1 0.000 0.500 0.500 1
La2 0.500 0.000 0.500 1
B1 0.500 0.500 0.500 1
Ir1 0.500 0.500 0.000 1
```

Symmetry: P4/mmm
Crystal system: tetragonal
Energy of formation in eV per formula unit: -1.42

This record from the Alexandria database describes a relaxed IrWS2 crystal. The functional is GGA-PBE.

```
data_IrWS2
_symmetry_space_group_name_H-M 'P 1'
_symmetry_Int_Tables_number 1
_cell_length_a 8.024
_cell_length_b 8.024
_cell_length_c 8.024
_cell_angle_alpha 21.94
_cell_angle_beta 21.94
_cell_angle_gamma 21.94
loop_
_symmetry_equiv_pos_as_xyz
'x,y,z'
loop_
_atom_site_label
_atom_site_fract_x
_atom_site_fract_y
_atom_site_fract_z
_atom_site_occupancy
Ir1 0.000 0.000 0.000 1
W1 0.500 0.500 0.500 1
S1 0.096 0.096 0.096 1
S2 0.904 0.904 0.904 1
```

Formation energy without anion corrections in eV/f.u.: -0.669
E above lowest polymorph in meV/atom: 0
Symmetry: R-3m
Crystal system: trigonal

This record from the Alexandria database describes a relaxed TcTeSe2 crystal. The functional is GGA-PBE.

```
data_TcTeSe2
_symmetry_space_group_name_H-M 'P 1'
_symmetry_Int_Tables_number 1
_cell_length_a 13.857
_cell_length_b 13.857
_cell_length_c 4.186
_cell_angle_alpha 90.00
_cell_angle_beta 90.00
_cell_angle_gamma 166.81
loop_
_symmetry_equiv_pos_as_xyz
'x,y,z'
loop_
_atom_site_label
_atom_site_fract_x
_atom_site_fract_y
_atom_site_fract_z
_atom_site_occupancy
Tc1 0.191 0.809 0.750 1
Tc2 0.809 0.191 0.250 1
Te1 0.461 0.539 0.750 1
Te2 0.539 0.461 0.250 1
Se1 0.285 0.715 0.750 1
Se2 0.378 0.622 0.250 1
Se3 0.622 0.378 0.750 1
Se4 0.715 0.285 0.250 1
```

Formation energy without anion corrections in eV/f.u.: 0.038
Symmetry: Cmcm
Crystal system: orthorhombic

This record from the Alexandria database describes a relaxed Pm3ZrSn5 crystal. The functional is GGA-PBE.

```
data_Pm3ZrSn5
_symmetry_space_group_name_H-M 'P 1'
_symmetry_Int_Tables_number 1
_cell_length_a 9.402
_cell_length_b 9.402
_cell_length_c 6.350
_cell_angle_alpha 90.00
_cell_angle_beta 90.00
_cell_angle_gamma 120.00
loop_
_symmetry_equiv_pos_as_xyz
'x,y,z'
loop_
_atom_site_label
_atom_site_fract_x
_atom_site_fract_y
_atom_site_fract_z
_atom_site_occupancy
Pm1 0.000 0.385 0.250 1
Pm2 0.000 0.615 0.750 1
Pm3 0.385 0.000 0.250 1
Pm4 0.385 0.385 0.750 1
Pm5 0.615 0.000 0.750 1
Pm6 0.615 0.615 0.250 1
Zr1 0.000 0.000 0.000 1
Zr2 0.000 0.000 0.500 1
Sn1 0.000 0.271 0.750 1
Sn2 0.000 0.729 0.250 1
Sn3 0.271 0.000 0.750 1
Sn4 0.271 0.271 0.250 1
Sn5 0.333 0.667 0.000 1
Sn6 0.333 0.667 0.500 1
Sn7 0.667 0.333 0.000 1
Sn8 0.667 0.333 0.500 1
Sn9 0.729 0.000 0.250 1
Sn10 0.729 0.729 0.750 1
```

Symmetry: P6_3/mcm
Crystal system: hexagonal
Energy of formation in eV per formula unit: -5.78

This record from the Alexandria database describes a relaxed HoPu2Ga6 crystal. The functional is GGA-PBE.

```
data_HoPu2Ga6
_symmetry_space_group_name_H-M 'P 1'
_symmetry_Int_Tables_number 1
_cell_length_a 7.696
_cell_length_b 7.696
_cell_length_c 7.696
_cell_angle_alpha 146.82
_cell_angle_beta 125.62
_cell_angle_gamma 65.21
loop_
_symmetry_equiv_pos_as_xyz
'x,y,z'
loop_
_atom_site_label
_atom_site_fract_x
_atom_site_fract_y
_atom_site_fract_z
_atom_site_occupancy
Ho1 0.000 0.000 0.000 1
Pu1 0.384 0.884 0.500 1
Pu2 0.616 0.116 0.500 1
Ga1 0.005 0.312 0.693 1
Ga2 0.298 0.500 0.798 1
Ga3 0.382 0.688 0.693 1
Ga4 0.618 0.312 0.307 1
Ga5 0.702 0.500 0.202 1
Ga6 0.995 0.688 0.307 1
```

E above lowest polymorph in meV/atom: 171
Symmetry: Immm
Crystal system: orthorhombic
Energy of formation in eV per formula unit: -2.52

This record from the Alexandria database describes a relaxed Sm2InAg3 crystal. The functional is GGA-PBE.

```
data_Sm2InAg3
_symmetry_space_group_name_H-M 'P 1'
_symmetry_Int_Tables_number 1
_cell_length_a 9.861
_cell_length_b 9.204
_cell_length_c 5.954
_cell_angle_alpha 77.93
_cell_angle_beta 65.88
_cell_angle_gamma 36.19
loop_
_symmetry_equiv_pos_as_xyz
'x,y,z'
loop_
_atom_site_label
_atom_site_fract_x
_atom_site_fract_y
_atom_site_fract_z
_atom_site_occupancy
Sm1 0.244 0.756 0.756 1
Sm2 0.250 0.250 0.250 1
Sm3 0.750 0.750 0.750 1
Sm4 0.756 0.244 0.244 1
In1 0.334 0.334 0.666 1
In2 0.666 0.666 0.334 1
Ag1 0.167 0.167 0.833 1
Ag2 0.167 0.667 0.333 1
Ag3 0.333 0.833 0.167 1
Ag4 0.667 0.167 0.833 1
Ag5 0.833 0.333 0.667 1
Ag6 0.833 0.833 0.167 1
```

E above lowest polymorph in meV/atom: 0
Symmetry: Fmmm
Crystal system: orthorhombic
Energy of formation in eV per formula unit: -1.90

This record from the Alexandria database describes a relaxed CrHg2Ru crystal. The functional is GGA-PBE.

```
data_CrHg2Ru
_symmetry_space_group_name_H-M 'P 1'
_symmetry_Int_Tables_number 1
_cell_length_a 9.253
_cell_length_b 9.253
_cell_length_c 9.253
_cell_angle_alpha 18.92
_cell_angle_beta 18.92
_cell_angle_gamma 18.92
loop_
_symmetry_equiv_pos_as_xyz
'x,y,z'
loop_
_atom_site_label
_atom_site_fract_x
_atom_site_fract_y
_atom_site_fract_z
_atom_site_occupancy
Cr1 0.000 0.000 0.000 1
Hg1 0.250 0.250 0.250 1
Hg2 0.750 0.750 0.750 1
Ru1 0.500 0.500 0.500 1
```

E above lowest polymorph in meV/atom: 353
Symmetry: R-3m
Crystal system: trigonal
Energy of formation in eV per formula unit: 2.60

This record from the Alexandria database describes a relaxed SbRh4 crystal. The functional is GGA-PBE.

```
data_SbRh4
_symmetry_space_group_name_H-M 'P 1'
_symmetry_Int_Tables_number 1
_cell_length_a 5.029
_cell_length_b 5.029
_cell_length_c 5.029
_cell_angle_alpha 109.47
_cell_angle_beta 109.47
_cell_angle_gamma 109.47
loop_
_symmetry_equiv_pos_as_xyz
'x,y,z'
loop_
_atom_site_label
_atom_site_fract_x
_atom_site_fract_y
_atom_site_fract_z
_atom_site_occupancy
Sb1 0.000 0.000 0.000 1
Rh1 0.000 0.000 0.500 1
Rh2 0.000 0.500 0.000 1
Rh3 0.500 0.000 0.000 1
Rh4 0.500 0.500 0.500 1
```

Formation energy without anion corrections in eV/f.u.: 3.310
E above lowest polymorph in meV/atom: 823
Symmetry: Im-3m
Crystal system: cubic

This record from the Alexandria database describes a relaxed K2UNiS4 crystal. The functional is GGA-PBE.

```
data_K2UNiS4
_symmetry_space_group_name_H-M 'P 1'
_symmetry_Int_Tables_number 1
_cell_length_a 6.485
_cell_length_b 6.485
_cell_length_c 6.485
_cell_angle_alpha 112.37
_cell_angle_beta 112.37
_cell_angle_gamma 103.82
loop_
_symmetry_equiv_pos_as_xyz
'x,y,z'
loop_
_atom_site_label
_atom_site_fract_x
_atom_site_fract_y
_atom_site_fract_z
_atom_site_occupancy
K1 0.000 0.000 0.000 1
K2 0.750 0.250 0.500 1
U1 0.250 0.750 0.500 1
Ni1 0.500 0.500 0.000 1
S1 0.256 0.670 0.082 1
S2 0.330 0.413 0.586 1
S3 0.587 0.173 0.918 1
S4 0.827 0.744 0.414 1
```

Formation energy without anion corrections in eV/f.u.: -7.137
Symmetry: I-4
Crystal system: tetragonal

This record from the Alexandria database describes a relaxed CrP2CCl crystal. The functional is GGA-PBE.

```
data_CrP2CCl
_symmetry_space_group_name_H-M 'P 1'
_symmetry_Int_Tables_number 1
_cell_length_a 3.881
_cell_length_b 3.881
_cell_length_c 4.494
_cell_angle_alpha 90.00
_cell_angle_beta 90.00
_cell_angle_gamma 90.00
loop_
_symmetry_equiv_pos_as_xyz
'x,y,z'
loop_
_atom_site_label
_atom_site_fract_x
_atom_site_fract_y
_atom_site_fract_z
_atom_site_occupancy
Cr1 0.000 0.000 0.000 1
P1 0.000 0.500 0.500 1
P2 0.500 0.000 0.500 1
C1 0.500 0.500 0.500 1
Cl1 0.500 0.500 0.000 1
```

Formation energy without anion corrections in eV/f.u.: 7.044
E above lowest polymorph in meV/atom: 0
Symmetry: P4/mmm
Crystal system: tetragonal

This record from the Alexandria database describes a relaxed Eu2ScTl crystal. The functional is GGA-PBE.

```
data_Eu2ScTl
_symmetry_space_group_name_H-M 'P 1'
_symmetry_Int_Tables_number 1
_cell_length_a 5.587
_cell_length_b 5.587
_cell_length_c 5.587
_cell_angle_alpha 60.00
_cell_angle_beta 60.00
_cell_angle_gamma 60.00
loop_
_symmetry_equiv_pos_as_xyz
'x,y,z'
loop_
_atom_site_label
_atom_site_fract_x
_atom_site_fract_y
_atom_site_fract_z
_atom_site_occupancy
Eu1 0.250 0.250 0.250 1
Eu2 0.750 0.750 0.750 1
Sc1 0.000 0.000 0.000 1
Tl1 0.500 0.500 0.500 1
```

E above lowest polymorph in meV/atom: 69
Symmetry: Fm-3m
Crystal system: cubic
Energy of formation in eV per formula unit: -0.11

This record from the Alexandria database describes a relaxed Re3C crystal. The functional is GGA-PBE.

```
data_Re3C
_symmetry_space_group_name_H-M 'P 1'
_symmetry_Int_Tables_number 1
_cell_length_a 2.810
_cell_length_b 3.894
_cell_length_c 4.885
_cell_angle_alpha 90.00
_cell_angle_beta 90.00
_cell_angle_gamma 90.00
loop_
_symmetry_equiv_pos_as_xyz
'x,y,z'
loop_
_atom_site_label
_atom_site_fract_x
_atom_site_fract_y
_atom_site_fract_z
_atom_site_occupancy
Re1 0.000 0.000 0.000 1
Re2 0.500 0.500 0.260 1
Re3 0.500 0.500 0.740 1
C1 0.000 0.000 0.500 1
```

E above lowest polymorph in meV/atom: 1186
Symmetry: Pmmm
Crystal system: orthorhombic
Energy of formation in eV per formula unit: 4.68